GGA-PBE MgTi2GeH, relaxed; E_tot = -0.19745 hartree per atom; space-group type = P4/mmm (123)
1.0
3.994 0.000 0.000
0.000 3.994 0.000
0.000 0.000 4.259
Mg Ti Ge H
1 2 1 1
Direct
0.000 0.000 0.000 Mg
0.000 0.500 0.500 Ti
0.500 0.000 0.500 Ti
0.500 0.500 0.000 Ge
0.000 0.000 0.500 H

GGA-PBE Cs3Nd2HfSe6, relaxed; E_tot = -0.18818 hartree per atom; space-group type = C2/m (12)
1.0
3.676 -6.367 0.000
3.676 6.367 0.000
-2.457 0.000 8.401
Cs Nd Hf Se
3 2 1 6
Direct
0.000 0.000 0.000 Cs
0.328 0.672 0.000 Cs
0.672 0.328 0.000 Cs
0.166 0.834 0.500 Nd
0.834 0.166 0.500 Nd
0.500 0.500 0.500 Hf
0.130 0.438 0.314 Se
0.255 0.255 0.689 Se
0.438 0.130 0.314 Se
0.562 0.870 0.686 Se
0.745 0.745 0.311 Se
0.870 0.562 0.686 Se

GGA-PBE SrRu2Se, relaxed; E_tot = -0.20091 hartree per atom; space-group type = I4/mmm (139)
1.0
-2.005 2.005 4.935
2.005 -2.005 4.935
2.005 2.005 -4.935
Sr Ru Se
1 2 1
Direct
0.000 0.000 0.000 Sr
0.250 0.750 0.500 Ru
0.750 0.250 0.500 Ru
0.500 0.500 0.000 Se

GGA-PBE TaNi2W, relaxed; E_form = -35 meV/atom; E_tot = -0.33540 hartree per atom; space-group type = Cmm2 (35)
1.0
1.935 -1.942 0.000
1.935 1.942 0.000
0.000 0.000 7.452
Ta Ni W
1 2 1
Direct
0.000 0.000 0.000 Ta
0.000 0.000 0.542 Ni
0.500 0.500 0.753 Ni
0.500 0.500 0.308 W

GGA-PBE LiRhW2, relaxed; E_form = 267 meV/atom; E_tot = -0.31334 hartree per atom; space-group type = Cmmm (65)
1.0
2.634 -4.141 0.000
2.634 4.141 0.000
0.000 0.000 2.703
Li Rh W
1 1 2
Direct
0.000 0.000 0.000 Li
0.500 0.500 0.000 Rh
0.000 0.500 0.500 W
0.500 0.000 0.500 W

GGA-PBE NiAg4Se, relaxed; E_tot = -0.11030 hartree per atom; space-group type = F-43m (216)
1.0
0.000 3.847 3.847
3.847 0.000 3.847
3.847 3.847 0.000
Ni Ag Se
1 4 1
Direct
0.000 0.000 0.000 Ni
0.375 0.375 0.375 Ag
0.375 0.375 0.876 Ag
0.375 0.876 0.375 Ag
0.876 0.375 0.375 Ag
0.750 0.750 0.750 Se